(1)
DFT (PBE-GGA) results for a relaxed structure of In2CuAu.

Lattice parameters (Å, degrees): 3.622 3.747 5.810 90.00 90.08 90.00
Space group P2/m (No. 10)
One atom of each set of equivalent atoms:
In (0.002, 0.000, 0.255)
Cu (0.500, 0.500, 0.500)
Au (0.500, 0.500, 0.000)

Summary:
- ΔE_f: 0.024 eV per atom


(2)
DFT (PBE-GGA) results for a relaxed structure of CsVRh2.

Lattice parameters (Å, degrees): 6.742 6.742 6.742 90.00 90.00 90.00
Space group Fm-3m (No. 225)
One atom of each set of equivalent atoms:
Cs (0.000, 0.000, 0.000)
V (0.000, 0.000, 0.500)
Rh (0.250, 0.250, 0.250)

Summary:
- Polymorph energy (0 for the lowest one): 359 meV/atom
- ΔE_f: 1.114 eV per atom


(3)
DFT (PBE-GGA) results for a relaxed structure of SrZr2Cr.

Lattice parameters (Å, degrees): 6.222 11.332 3.180 90.00 116.53 90.00
Space group C2/m (No. 12)
One atom of each set of equivalent atoms:
Sr (0.000, 0.000, 0.000)
Zr (0.250, 0.250, 0.500)
Cr (0.000, 0.500, 0.000)

Summary:
- Polymorph energy (0 for the lowest one): 393 meV/atom
- ΔE_f: 0.731 eV per atom


(4)
DFT (PBE-GGA) results for a relaxed structure of CoGe2Au.

Lattice parameters (Å, degrees): 6.349 6.349 6.349 90.00 90.00 90.00
Space group Fm-3m (No. 225)
One atom of each set of equivalent atoms:
Co (0.000, 0.000, 0.000)
Ge (0.250, 0.250, 0.250)
Au (0.000, 0.000, 0.500)

Summary:
- Polymorph energy (0 for the lowest one): 336 meV/atom
- ΔE_f: 0.308 eV per atom


(5)
DFT (PBE-GGA) results for a relaxed structure of Dy6Mg5Ag.

Lattice parameters (Å, degrees): 5.335 7.445 8.441 90.00 108.29 90.00
Space group P2/m (No. 10)
One atom of each set of equivalent atoms:
Dy (0.000, 0.245, 0.000)
Dy (0.337, 0.249, 0.673)
Mg (0.169, 0.500, 0.337)
Mg (0.172, 0.000, 0.346)
Mg (0.500, 0.500, 0.000)
Ag (0.500, 0.000, 0.000)

Summary:
- ΔE_f: -0.104 eV per atom


(6)
DFT (PBE-GGA) results for a relaxed structure of TiNbSbTe2.

Lattice parameters (Å, degrees): 5.401 5.401 5.369 90.00 90.00 90.00
Space group P4/mmm (No. 123)
One atom of each set of equivalent atoms:
Ti (0.000, 0.000, 0.000)
Nb (0.500, 0.500, 0.500)
Sb (0.500, 0.500, 0.000)
Te (0.000, 0.500, 0.500)

Summary:
- Polymorph energy (0 for the lowest one): 0 meV/atom
- Raw formation energy: 0.59 eV per atom